The following is a PBE-GGA calculation of a relaxed structure of Rb2Sn2S3, from Alexandria.

Computed properties:
Magnetization   0.00 μB/f.u.
Raw formation energy   -0.76 eV per atom
Symmetry   C2/m
Energy   -27.638 eV per cell

a = 4.019 Å, b = 7.183 Å, c = 8.313 Å
α = 89.93°, β = 103.99°, γ = 90.00°
Fractional positions:
1 Rb 0.356 0.290 0.712
2 Rb 0.644 0.710 0.288
3 Sn 0.087 0.197 0.174
4 Sn 0.913 0.803 0.826
5 S 0.000 0.500 0.000
6 S 0.687 0.258 0.374
7 S 0.313 0.742 0.626